VASP calculation (PBE-GGA) on BeTl2W after structural relaxation.

magnetization = 2.184 μB per formula unit
E_form = 1436 meV per atom
calculated volume = 81 Å³/f.u.
N(E_F) = 3.3 states/eV per cell
relative energy among the computed polymorphs = 759 meV per atom
SG = F-43m (216)

a b c (Å): 4.8561 4.8561 4.8561
angles (deg): 60.00 60.00 60.00
With the nearest neighbours (Å) after each atom.
Positions (direct):
Be 0.0000 0.0000 0.0000  4 Tl 2.97, 4 W 2.97
Tl 0.5000 0.5000 0.5000  4 Tl 2.97, 4 W 2.97
Tl 0.7500 0.7500 0.7500  4 Tl 2.97, 4 Be 2.97
W 0.2500 0.2500 0.2500  4 Tl 2.97, 4 Be 2.97



VASP calculation (PBE-GGA) on BaScAl2Tc after structural relaxation.

magnetization = 0.000 μB per formula unit
E_form = -174 meV per atom
calculated volume = 126 Å³/f.u.
N(E_F) = 3.2 states/eV per cell
SG = P4/mmm (123)

a b c (Å): 5.0478 5.0478 4.9426
angles (deg): 90.00 90.00 90.00
With the nearest neighbours (Å) after each atom.
Positions (direct):
Ba 0.0000 0.0000 0.0000  8 Al 3.53, 4 Sc 3.57
Sc 0.5000 0.5000 0.0000  2 Tc 2.47
Al 0.0000 0.5000 0.5000  2 Tc 2.52
Al 0.5000 0.0000 0.5000  2 Tc 2.52
Tc 0.5000 0.5000 0.5000  2 Sc 2.47, 4 Al 2.52



VASP calculation (PBE-GGA) on Ba2NaZn2S4 after structural relaxation.

magnetization = 0.000 μB per formula unit
calculated volume = 218 Å³/f.u.
formation energy from raw total energies = -1.20 eV per atom
N(E_F) = 1.5 states/eV per cell
SG = C2/m (12)

a b c (Å): 8.2554 8.2554 6.8013
angles (deg): 114.20 114.20 31.25
With the nearest neighbours (Å) after each atom.
Positions (direct):
Ba 0.1391 0.1391 0.1385  8 S 3.27-3.50, 1 Zn 3.42
Ba 0.8609 0.8609 0.8615  8 S 3.27-3.50, 1 Zn 3.42
Na 0.0000 0.0000 0.5000  6 S 2.79-2.83, 4 Zn 2.84
Zn 0.3770 0.3770 0.3769  4 S 2.45-2.50
Zn 0.6230 0.6230 0.6231  4 S 2.45-2.50
S 0.1939 0.1939 0.6944  2 Zn 2.45
S 0.4995 0.4995 0.7575  2 Zn 2.49-2.50
S 0.5005 0.5005 0.2425  2 Zn 2.49-2.50
S 0.8061 0.8061 0.3056  2 Zn 2.45



VASP calculation (PBE-GGA) on ScReC2 after structural relaxation.

magnetization = 0.000 μB per formula unit
E_form = -160 meV per atom
calculated volume = 44 Å³/f.u.
N(E_F) = 1.2 states/eV per cell
relative energy among the computed polymorphs = 0 meV per atom
SG = R-3m (166)

a b c (Å): 5.5438 5.5438 5.5438
angles (deg): 32.57 32.57 32.57
With the nearest neighbours (Å) after each atom.
Positions (direct):
Sc 0.0000 0.0000 0.0000  6 C 2.28
Re 0.5000 0.5000 0.5000  6 C 2.17
C 0.2436 0.2436 0.2436  3 Re 2.17, 3 Sc 2.28
C 0.7564 0.7564 0.7564  3 Re 2.17, 3 Sc 2.28



VASP calculation (PBE-GGA) on TaGa2Ru after structural relaxation.

magnetization = 0.000 μB per formula unit
E_form = -203 meV per atom
calculated volume = 61 Å³/f.u.
N(E_F) = 2.8 states/eV per cell
SG = P4/mmm (123)

a b c (Å): 3.0347 3.0347 6.6274
angles (deg): 90.00 90.00 90.00
With the nearest neighbours (Å) after each atom.
Positions (direct):
Ta 0.0000 0.0000 0.0000  8 Ga 2.84, 4 Ta 3.03
Ga 0.5000 0.5000 0.2812  4 Ru 2.59, 4 Ta 2.84, 1 Ga 2.90
Ga 0.5000 0.5000 0.7188  4 Ru 2.59, 4 Ta 2.84, 1 Ga 2.90
Ru 0.0000 0.0000 0.5000  8 Ga 2.59



VASP calculation (PBE-GGA) on Pt2Cl2F after structural relaxation.

magnetization = 0.980 μB per formula unit
calculated volume = 112 Å³/f.u.
formation energy from raw total energies = 0.36 eV per atom
N(E_F) = 14.5 states/eV per cell
relative energy among the computed polymorphs = 0 meV per atom
SG = P4/mbm (127)

a b c (Å): 8.6049 8.6049 3.0256
angles (deg): 90.00 90.00 90.00
With the nearest neighbours (Å) after each atom.
Positions (direct):
Pt 0.1035 0.3965 0.0000  2 Cl 2.26, 1 Pt 2.52
Pt 0.3965 0.8965 0.0000  2 Cl 2.26, 1 Pt 2.52
Pt 0.6035 0.1035 0.0000  2 Cl 2.26, 1 Pt 2.52
Pt 0.8965 0.6035 0.0000  2 Cl 2.26, 1 Pt 2.52
Cl 0.2413 0.2587 0.5000  2 Pt 2.26
Cl 0.2587 0.7587 0.5000  2 Pt 2.26
Cl 0.7413 0.2413 0.5000  2 Pt 2.26
Cl 0.7587 0.7413 0.5000  2 Pt 2.26
F 0.0000 0.0000 0.5000  2 F 3.03, 4 Cl 3.04
F 0.5000 0.5000 0.5000  2 F 3.03, 4 Cl 3.04



VASP calculation (PBE-GGA) on Ca2ErNpO6 after structural relaxation.

magnetization = 2.000 μB per formula unit
calculated volume = 160 Å³/f.u.
formation energy from raw total energies = -2.98 eV per atom
N(E_F) = 3.7 states/eV per cell
SG = P4mm (99)

a b c (Å): 6.0028 6.0028 4.4467
angles (deg): 90.00 90.00 90.00
With the nearest neighbours (Å) after each atom.
Positions (direct):
Ca 0.0000 0.5000 0.0000  4 O 2.48
Ca 0.5000 0.0000 0.0000  4 O 2.48
Er 0.0000 0.0000 0.6198  6 O 2.12-2.33
Np 0.5000 0.5000 0.6505  6 O 2.09-2.25
O 0.0000 0.0000 0.1430  2 Er 2.12-2.33
O 0.2563 0.2563 0.7130  1 Np 2.09, 1 Er 2.22
O 0.2563 0.7437 0.7130  1 Np 2.09, 1 Er 2.22
O 0.5000 0.5000 0.1576  2 Np 2.19-2.25
O 0.7437 0.2563 0.7130  1 Np 2.09, 1 Er 2.22
O 0.7437 0.7437 0.7130  1 Np 2.09, 1 Er 2.22



VASP calculation (PBE-GGA) on TaPb2 after structural relaxation.

magnetization = 0.000 μB per formula unit
E_form = 363 meV per atom
calculated volume = 77 Å³/f.u.
N(E_F) = 4.1 states/eV per cell
SG = C2/m (12)

a b c (Å): 5.7139 5.7139 9.1556
angles (deg): 110.20 110.20 33.70
With the nearest neighbours (Å) after each atom.
Positions (direct):
Ta 0.2087 0.2087 0.0907  2 Ta 2.72, 1 Pb 3.01
Ta 0.7913 0.7913 0.9093  2 Ta 2.72, 1 Pb 3.01
Pb 0.1588 0.1588 0.5933  2 Ta 3.19, 8 Pb 3.27-3.55
Pb 0.4975 0.4975 0.8163  5 Ta 3.01-3.19, 3 Pb 3.31-3.34
Pb 0.5025 0.5025 0.1837  5 Ta 3.01-3.19, 3 Pb 3.31-3.34
Pb 0.8412 0.8412 0.4067  2 Ta 3.19, 8 Pb 3.27-3.55



VASP calculation (PBE-GGA) on LiEr7Ru4 after structural relaxation.

magnetization = 0.000 μB per formula unit
E_form = -165 meV per atom
calculated volume = 275 Å³/f.u.
N(E_F) = 7.7 states/eV per cell
SG = C2/m (12)

a b c (Å): 7.3284 7.3284 9.7420
angles (deg): 124.21 124.21 41.09
With the nearest neighbours (Å) after each atom.
Positions (direct):
Li 0.0000 0.0000 0.0000  2 Er 2.57
Er 0.0769 0.0769 0.3556  1 Ru 2.67, 1 Li 2.95
Er 0.2164 0.2164 0.8736  4 Ru 2.86-3.08
Er 0.3294 0.3294 0.3790  2 Ru 2.70-2.94
Er 0.5000 0.5000 0.0000  2 Li 2.57, 4 Ru 2.75-2.79
Er 0.6706 0.6706 0.6210  2 Ru 2.70-2.94
Er 0.7836 0.7836 0.1264  4 Ru 2.86-3.08
Er 0.9231 0.9231 0.6444  1 Ru 2.67, 1 Li 2.95
Ru 0.3001 0.3001 0.6542  4 Er 2.67-2.97
Ru 0.4350 0.4350 0.2176  5 Er 2.70-3.01
Ru 0.5650 0.5650 0.7824  5 Er 2.70-3.01
Ru 0.6999 0.6999 0.3458  4 Er 2.67-2.97



VASP calculation (PBE-GGA) on Be2CCl4 after structural relaxation.

magnetization = 1.229 μB per formula unit
calculated volume = 176 Å³/f.u.
formation energy from raw total energies = 0.30 eV per atom
N(E_F) = 0.8 states/eV per cell
SG = I4/mmm (139)

a b c (Å): 9.0557 9.0557 9.0557
angles (deg): 150.83 150.83 41.72
With the nearest neighbours (Å) after each atom.
Positions (direct):
Be 0.0661 0.0661 0.0000  1 Cl 1.80
Be 0.9339 0.9339 0.0000  1 Cl 1.80
C 0.5000 0.5000 0.0000  4 Cl 2.28
Cl 0.0000 0.5000 0.5000  2 C 2.28, 4 Be 2.54
Cl 0.1725 0.1725 0.0000  1 Be 1.80
Cl 0.5000 0.0000 0.5000  2 C 2.28, 4 Be 2.54
Cl 0.8275 0.8275 0.0000  1 Be 1.80



VASP calculation (PBE-GGA) on Rb4PmY3Te8 after structural relaxation.

magnetization = 0.000 μB per formula unit
calculated volume = 614 Å³/f.u.
formation energy from raw total energies = -1.40 eV per atom
SG = R-3m (166)

a b c (Å): 10.0414 10.0414 10.0414
angles (deg): 53.92 53.92 53.92
With the nearest neighbours (Å) after each atom.
Positions (direct):
Rb 0.0000 0.0000 0.0000  6 Te 3.64
Rb 0.0000 0.5000 0.5000  6 Te 3.68
Rb 0.5000 0.0000 0.5000  6 Te 3.68
Rb 0.5000 0.5000 0.0000  6 Te 3.68
Pm 0.5000 0.5000 0.5000  6 Te 3.17
Y 0.0000 0.0000 0.5000  6 Te 3.13
Y 0.0000 0.5000 0.0000  6 Te 3.13
Y 0.5000 0.0000 0.0000  6 Te 3.13
Te 0.2288 0.7362 0.7362  2 Y 3.13, 1 Pm 3.17
Te 0.2330 0.2330 0.2330  3 Y 3.13
Te 0.2638 0.2638 0.7712  2 Y 3.13, 1 Pm 3.17
Te 0.2638 0.7712 0.2638  2 Y 3.13, 1 Pm 3.17
Te 0.7362 0.2288 0.7362  2 Y 3.13, 1 Pm 3.17
Te 0.7362 0.7362 0.2288  2 Y 3.13, 1 Pm 3.17
Te 0.7670 0.7670 0.7670  3 Y 3.13
Te 0.7712 0.2638 0.2638  2 Y 3.13, 1 Pm 3.17



VASP calculation (PBE-GGA) on Hf2Mn3Ir after structural relaxation.

magnetization = 4.789 μB per formula unit
E_form = -444 meV per atom
calculated volume = 91 Å³/f.u.
N(E_F) = 5.2 states/eV per cell
SG = R-3m (166)

a b c (Å): 5.0940 5.0940 5.0940
angles (deg): 58.74 58.74 58.74
With the nearest neighbours (Å) after each atom.
Positions (direct):
Hf 0.1236 0.1236 0.1236  3 Ir 2.94, 9 Mn 2.94-3.01, 4 Hf 3.08-3.11
Hf 0.8764 0.8764 0.8764  3 Ir 2.94, 9 Mn 2.94-3.01, 4 Hf 3.08-3.11
Mn 0.0000 0.5000 0.5000  4 Mn 2.50, 2 Ir 2.55
Mn 0.5000 0.0000 0.5000  4 Mn 2.50, 2 Ir 2.55
Mn 0.5000 0.5000 0.0000  4 Mn 2.50, 2 Ir 2.55
Ir 0.5000 0.5000 0.5000  6 Mn 2.55



What did the fourth record say?
VASP calculation (PBE-GGA) on ScReC2 after structural relaxation.

magnetization = 0.000 μB per formula unit
E_form = -160 meV per atom
calculated volume = 44 Å³/f.u.
N(E_F) = 1.2 states/eV per cell
relative energy among the computed polymorphs = 0 meV per atom
SG = R-3m (166)

a b c (Å): 5.5438 5.5438 5.5438
angles (deg): 32.57 32.57 32.57
With the nearest neighbours (Å) after each atom.
Positions (direct):
Sc 0.0000 0.0000 0.0000  6 C 2.28
Re 0.5000 0.5000 0.5000  6 C 2.17
C 0.2436 0.2436 0.2436  3 Re 2.17, 3 Sc 2.28
C 0.7564 0.7564 0.7564  3 Re 2.17, 3 Sc 2.28



Q: Look up the magnetization of the second one.
A: 0.000 μB per formula unit



Q: Which value of calculated volume does entry 3 give?
A: 218 Å³/f.u.



Q: Which formula does entry 10 have?
A: Be2CCl4